No. 1
A geometry-optimized Tb12Sm6Ho structure, computed with GGA-PBE.

Cell lengths 8.577, 8.577, 8.577 Å; angles 88.80, 88.80, 88.80 degrees
Element x y z (fractional)
Tb: 0.014 0.203 0.356
Tb: 0.203 0.356 0.014
Tb: 0.225 0.460 0.563
Tb: 0.356 0.014 0.203
Tb: 0.437 0.775 0.540
Tb: 0.460 0.563 0.225
Tb: 0.540 0.437 0.775
Tb: 0.563 0.225 0.460
Tb: 0.644 0.986 0.797
Tb: 0.775 0.540 0.437
Tb: 0.797 0.644 0.986
Tb: 0.986 0.797 0.644
Sm: 0.092 0.692 0.259
Sm: 0.259 0.092 0.692
Sm: 0.308 0.741 0.908
Sm: 0.692 0.259 0.092
Sm: 0.741 0.908 0.308
Sm: 0.908 0.308 0.741
Ho: 0.000 0.000 0.000

**Total DFT energy (no corrections)**: -85.63 eV per formula unit
**Excess energy over the best structure of this formula in the dataset**: 0 meV/atom
**ρ**: 7.83 g/cm3
**ΔH_f (0 K)**: 0.1488 eV/atom

=====

No. 2
A geometry-optimized TiTl2As structure, computed with GGA-PBE.

Cell lengths 6.464, 6.464, 6.464 Å; angles 101.69, 101.69, 126.50 degrees
Element x y z (fractional)
Ti: 0.000 0.000 0.000
Ti: 0.750 0.250 0.500
Tl: 0.131 0.625 0.006
Tl: 0.375 0.381 0.506
Tl: 0.619 0.125 0.994
Tl: 0.875 0.869 0.494
As: 0.250 0.750 0.500
As: 0.500 0.500 0.000

**Total DFT energy (no corrections)**: -15.93 eV per formula unit
**Excess energy over the best structure of this formula in the dataset**: 0 meV/atom
**ρ**: 9.11 g/cm3
**ΔH_f (0 K)**: 0.3370 eV/atom

=====

No. 3
A geometry-optimized SN structure, computed with GGA-PBE.

Cell lengths 3.445, 3.445, 3.445 Å; angles 60.00, 60.00, 60.00 degrees
Element x y z (fractional)
S: 0.000 0.000 0.000
N: 0.250 0.250 0.250

**Total DFT energy (no corrections)**: -8.48 eV per formula unit
**Formation energy without anion corrections**: 191.5 kJ/mol of atoms
**ρ**: 2.65 g/cm3

=====

No. 4
A geometry-optimized NaPmPr2Se4 structure, computed with GGA-PBE.

Cell lengths 7.350, 4.228, 7.357 Å; angles 90.00, 109.20, 90.00 degrees
Element x y z (fractional)
Na: 0.000 0.000 0.000
Pm: 0.000 0.500 0.500
Pr: 0.500 0.000 0.500
Pr: 0.500 0.500 0.000
Se: 0.243 0.000 0.749
Se: 0.247 0.500 0.250
Se: 0.753 0.500 0.750
Se: 0.757 0.000 0.251

**Total DFT energy (no corrections)**: -43.71 eV per formula unit
**Formation energy without anion corrections**: -170.5 kJ/mol of atoms
**ρ**: 5.89 g/cm3